1.
Crystalline Dy2LuScIn2 at its relaxed geometry, computed with PBE.

Geometry as CIF:
```
data_Dy2LuScIn2
_chemical_formula_sum 'Dy2 Lu1 Sc1 In2'
_symmetry_space_group_name_H-M 'P 1'
_symmetry_Int_Tables_number 1
_symmetry_space_group_name_Hall 'P 1'
_cell_length_a 5.249
_cell_length_b 5.249
_cell_length_c 6.636
_cell_angle_alpha 90.00
_cell_angle_beta 90.00
_cell_angle_gamma 120.00
loop_
_atom_site_label
_atom_site_fract_x
_atom_site_fract_y
_atom_site_fract_z
Dy1 0.000 0.000 0.245
Dy2 0.000 0.000 0.755
Lu1 0.667 0.333 0.500
Sc1 0.333 0.667 0.000
In1 0.333 0.667 0.500
In2 0.667 0.333 0.000
```

SG: No. 187
Crystal system: hexagonal
Electronic total energy (eV/atom): -4.611

2.
Crystalline SmDy2LuIn2 at its relaxed geometry, computed with PBE.

Geometry as CIF:
```
data_SmDy2LuIn2
_chemical_formula_sum 'Sm1 Dy2 Lu1 In2'
_symmetry_space_group_name_H-M 'P 1'
_symmetry_Int_Tables_number 1
_symmetry_space_group_name_Hall 'P 1'
_cell_length_a 5.380
_cell_length_b 5.380
_cell_length_c 6.758
_cell_angle_alpha 90.00
_cell_angle_beta 90.00
_cell_angle_gamma 120.00
loop_
_atom_site_label
_atom_site_fract_x
_atom_site_fract_y
_atom_site_fract_z
Sm1 0.000 0.000 0.000
Dy1 0.667 0.333 0.257
Dy2 0.667 0.333 0.743
Lu1 0.333 0.667 0.500
In1 0.000 0.000 0.500
In2 0.333 0.667 0.000
```

SG: No. 187
Crystal system: hexagonal
Electronic total energy (eV/atom): -4.328

3.
Crystalline DyTm2LuIn2 at its relaxed geometry, computed with PBE.

Geometry as CIF:
```
data_DyTm2LuIn2
_chemical_formula_sum 'Dy1 Tm2 Lu1 In2'
_symmetry_space_group_name_H-M 'P 1'
_symmetry_Int_Tables_number 1
_symmetry_space_group_name_Hall 'P 1'
_cell_length_a 5.322
_cell_length_b 5.322
_cell_length_c 6.654
_cell_angle_alpha 90.00
_cell_angle_beta 90.00
_cell_angle_gamma 120.00
loop_
_atom_site_label
_atom_site_fract_x
_atom_site_fract_y
_atom_site_fract_z
Dy1 0.000 0.000 0.000
Tm1 0.333 0.667 0.251
Tm2 0.667 0.333 0.749
Lu1 0.000 0.000 0.500
In1 0.333 0.667 0.750
In2 0.667 0.333 0.250
```

SG: No. 164
Crystal system: trigonal
Electronic total energy (eV/atom): -4.268

Magnetization for every record listed, in sequence, given in μB per formula unit: 0.139, 0.927, 0.465.